[1]
Li2Er3RhPb3 | GGA-PBE | optimized geometry

Structure (extended XYZ):
```
9
Lattice="-0.131 -0.098 3.511 -0.476 -8.345 -0.250 7.463 3.752 0.383" Properties=species:S:1:pos:R:3 pbc="T T T"
Er -0.420 -6.250 1.570
Er 5.481 2.740 2.040
Er 1.729 -1.228 1.790
Pb 2.950 1.483 0.151
Pb 4.225 -2.777 0.081
Pb -0.188 -3.299 -0.099
Rh 0.000 0.000 0.000
Li 4.751 -0.329 1.928
Li 2.105 -4.361 1.717
```

Results
The space group is P-62m, No. 189. Its formation energy from the elements is -0.5181 eV/atom. Its total energy is -4.5173 eV per atom. The total moment comes out at 0.0 μB per cell.

[2]
LiErRhPb | GGA-PBE | optimized geometry

Structure (extended XYZ):
```
4
Lattice="4.775 0.000 0.000 2.388 4.135 0.000 2.388 1.378 3.899" Properties=species:S:1:pos:R:3 pbc="T T T"
Li 0.000 0.000 0.000
Pb 7.163 4.135 2.924
Er 2.388 1.378 0.975
Rh 4.775 2.757 1.949
```

Results
The space group is F-43m, No. 216. Its formation energy from the elements is -0.5354 eV/atom. Its total energy is -4.9195 eV per atom. The total moment comes out at 0.0 μB per cell.

[3]
LiErPbS3 | GGA-PBE | optimized geometry

Structure (extended XYZ):
```
12
Lattice="3.967 0.000 0.000 0.000 8.262 0.636 0.000 -2.526 8.193" Properties=species:S:1:pos:R:3 pbc="T T T"
Li 0.992 -0.791 4.859
Li 2.975 6.528 3.971
S 2.975 3.212 1.610
S 2.975 6.965 1.626
S 0.992 2.524 7.220
S 0.992 5.283 4.475
S 0.992 -1.229 7.203
S 2.975 0.453 4.354
Er 2.975 0.633 7.041
Er 0.992 5.103 1.789
Pb 2.975 4.765 6.787
Pb 0.992 0.971 2.043
```

Results
The space group is P2_1/m, No. 11. Its total energy is -5.1059 eV per atom. The total moment comes out at 0.0 μB per cell. As for the uncorrected formation energy: -1.34 eV/atom.

[4]
LiErPb2S4 | GGA-PBE | optimized geometry

Structure (extended XYZ):
```
8
Lattice="-0.351 -3.717 -1.549 4.334 1.813 -5.335 6.499 -1.399 1.886" Properties=species:S:1:pos:R:3 pbc="T T T"
S 4.638 -0.919 -4.121
S 8.031 0.259 -2.440
S 5.844 -2.384 -0.877
S 2.451 -3.562 -2.558
Er 5.417 0.207 -1.725
Pb 3.074 -2.558 0.169
Pb 6.499 -1.399 1.886
Li 1.992 -0.952 -3.442
```

Results
The space group is P2/m, No. 10. Its total energy is -4.9358 eV per atom. The total moment comes out at 0.0 μB per cell. As for the uncorrected formation energy: -1.14 eV/atom.

[5]
LiEr2PbS | GGA-PBE | optimized geometry

Structure (extended XYZ):
```
10
Lattice="3.962 0.000 0.000 0.000 7.524 0.269 0.000 -2.860 7.547" Properties=species:S:1:pos:R:3 pbc="T T T"
Er 0.991 -0.969 7.464
Er 0.991 -0.243 2.939
Er 2.972 5.633 0.352
Er 2.972 4.907 4.877
S 2.972 0.612 1.313
S 0.991 4.052 6.503
Li 0.991 2.327 4.985
Li 2.972 2.337 2.831
Pb 0.991 4.217 2.406
Pb 2.972 0.447 5.410
```

Results
The space group is P2_1/m, No. 11. Its total energy is -4.7625 eV per atom. The total moment comes out at 0.0 μB per cell. As for the uncorrected formation energy: -0.99 eV/atom.

[6]
Li2ErSc2Pb2 | GGA-PBE | optimized geometry

Structure (extended XYZ):
```
7
Lattice="4.741 0.000 0.000 2.371 4.106 0.000 2.371 1.369 8.345" Properties=species:S:1:pos:R:3 pbc="T T T"
Pb 7.112 4.106 6.537
Pb 2.371 1.369 1.809
Sc 2.371 1.369 4.994
Sc 7.112 4.106 3.351
Er 0.000 0.000 0.000
Li 4.741 2.737 2.264
Li 4.741 2.737 6.082
```

Results
The space group is R-3m, No. 166. Its formation energy from the elements is -0.2927 eV/atom. Its total energy is -4.3599 eV per atom. The total moment comes out at 0.9 μB per cell.

[7]
LiErScPb | GGA-PBE | optimized geometry

Structure (extended XYZ):
```
4
Lattice="5.115 0.000 0.000 2.558 4.430 0.000 2.558 1.477 4.177" Properties=species:S:1:pos:R:3 pbc="T T T"
Li 5.115 2.953 2.088
Sc 7.673 4.430 3.132
Pb 0.000 0.000 0.000
Er 2.558 1.477 1.044
```

Results
The space group is F-43m, No. 216. Its formation energy from the elements is -0.2265 eV/atom. Its total energy is -4.3556 eV per atom. The total moment comes out at 0.0 μB per cell.

[8]
LiErSnPb | GGA-PBE | optimized geometry

Structure (extended XYZ):
```
4
Lattice="4.391 0.000 0.000 0.000 4.773 0.000 0.000 0.000 4.649" Properties=species:S:1:pos:R:3 pbc="T T T"
Pb 0.000 0.000 0.000
Li 2.195 0.000 2.325
Sn 0.000 2.387 2.325
Er 2.195 2.387 0.000
```

Results
The space group is Pmmm, No. 47. Its formation energy from the elements is -0.4540 eV/atom. Its total energy is -4.0010 eV per atom. The total moment comes out at 0.0 μB per cell. The calculation puts the excess energy over the best structure of this formula in the dataset at 0.0000 eV/atom.

[9]
LiErSnPb | GGA-PBE | optimized geometry

Structure (extended XYZ):
```
4
Lattice="-2.091 -1.279 -4.626 1.977 -3.990 -2.752 -2.728 -4.440 -0.501" Properties=species:S:1:pos:R:3 pbc="T T T"
Pb -0.710 -2.427 -1.970
Li -1.421 -4.855 -3.940
Sn -2.131 -7.282 -5.910
Er 0.000 0.000 0.000
```

Results
The space group is F-43m, No. 216. Its formation energy from the elements is -0.3353 eV/atom. Its total energy is -3.8822 eV per atom. The total moment comes out at 0.0 μB per cell. The calculation puts the excess energy over the best structure of this formula in the dataset at 0.1187 eV/atom.

[10]
LiTbErPb | GGA-PBE | optimized geometry

Structure (extended XYZ):
```
4
Lattice="-4.366 -2.599 -1.410 0.081 -5.255 -0.424 -2.556 -2.969 3.528" Properties=species:S:1:pos:R:3 pbc="T T T"
Er -1.710 -2.706 0.424
Pb -3.420 -5.412 0.847
Tb -5.131 -8.117 1.271
Li 0.000 0.000 0.000
```

Results
The space group is F-43m, No. 216. Its formation energy from the elements is -0.2551 eV/atom. Its total energy is -3.9590 eV per atom. The total moment comes out at 0.0 μB per cell.

[11]
Li2TbEr2Pb2 | GGA-PBE | optimized geometry

Structure (extended XYZ):
```
7
Lattice="4.835 0.000 0.000 2.418 4.187 0.000 2.418 1.396 8.818" Properties=species:S:1:pos:R:3 pbc="T T T"
Er 7.253 4.187 3.430
Er 2.418 1.396 5.388
Pb 2.418 1.396 1.850
Pb 7.253 4.187 6.968
Tb 0.000 0.000 0.000
Li 4.835 2.792 1.947
Li 4.835 2.792 6.871
```

Results
The space group is R-3m, No. 166. Its formation energy from the elements is -0.2964 eV/atom. Its total energy is -3.8679 eV per atom. The total moment comes out at 0.0 μB per cell.

[12]
Li2Tb2ErPb2 | GGA-PBE | optimized geometry

Structure (extended XYZ):
```
7
Lattice="-4.000 1.853 1.965 -0.959 -0.738 4.673 2.817 7.804 4.304" Properties=species:S:1:pos:R:3 pbc="T T T"
Tb -3.238 3.977 7.443
Tb 1.096 4.943 3.499
Li 0.272 6.693 6.099
Li -2.414 2.227 4.842
Pb -0.743 1.884 2.638
Pb -1.399 7.035 8.303
Er 0.000 0.000 0.000
```

Results
The space group is R-3m, No. 166. Its formation energy from the elements is -0.2974 eV/atom. Its total energy is -3.8785 eV per atom. The total moment comes out at 0.0 μB per cell.

[13]
LiErTe4Pb2 | GGA-PBE | optimized geometry

Structure (extended XYZ):
```
8
Lattice="-2.161 -1.186 -3.732 6.686 -2.093 -3.207 -3.047 -6.164 3.723" Properties=species:S:1:pos:R:3 pbc="T T T"
Pb -2.604 -3.675 -0.004
Pb 1.819 -4.129 0.258
Li 2.262 -1.640 -3.470
Te -0.142 -2.511 -1.800
Te 1.619 -6.933 -1.415
Te -0.643 -5.297 2.055
Te 4.281 -2.961 -1.539
Er 0.000 0.000 0.000
```

Results
The space group is P2/m, No. 10. Its total energy is -4.1049 eV per atom. The total moment comes out at 0.0 μB per cell. As for the uncorrected formation energy: -0.80 eV/atom.